Entry from Alexandria: a relaxed Tb6Nd2Er3Mg crystal (PBE).

abc: 6.134 6.134 11.744
angles: 95.03 95.03 120.05
Positions (direct):
Tb  0.084  0.415  0.753
Tb  0.248  0.248  0.246
Tb  0.415  0.084  0.753
Tb  0.585  0.916  0.247
Tb  0.752  0.752  0.754
Tb  0.916  0.585  0.247
Nd  0.334  0.666  0.500
Nd  0.666  0.334  0.500
Er  0.166  0.834  0.000
Er  0.500  0.500  0.000
Er  0.834  0.166  0.000
Mg  0.000  0.000  0.500

Computed properties:
E_form ... 0.018 eV/atom

Entry from Alexandria: a relaxed Tb6Nd3Er2Mg crystal (PBE).

abc: 6.189 6.189 11.738
angles: 95.07 95.07 120.05
Positions (direct):
Tb  0.080  0.413  0.244
Tb  0.252  0.252  0.755
Tb  0.413  0.080  0.244
Tb  0.587  0.920  0.756
Tb  0.748  0.748  0.245
Tb  0.920  0.587  0.756
Nd  0.166  0.834  0.500
Nd  0.500  0.500  0.500
Nd  0.834  0.166  0.500
Er  0.334  0.666  0.000
Er  0.666  0.334  0.000
Mg  0.000  0.000  0.000

Computed properties:
E_form ... 0.033 eV/atom

Entry from Alexandria: a relaxed Tb2Nd4ErMg crystal (PBE).

abc: 5.083 5.083 9.989
angles: 90.00 90.00 90.00
Positions (direct):
Tb  0.000  0.000  0.000
Tb  0.500  0.500  0.500
Nd  0.000  0.500  0.247
Nd  0.000  0.500  0.753
Nd  0.500  0.000  0.247
Nd  0.500  0.000  0.753
Er  0.000  0.000  0.500
Mg  0.500  0.500  0.000

Computed properties:
E_form ... 0.007 eV/atom

Entry from Alexandria: a relaxed Tb2Nd6ErMg crystal (PBE).

abc: 8.827 8.827 9.652
angles: 94.38 94.38 116.23
Positions (direct):
Tb  0.199  0.296  0.052
Tb  0.296  0.199  0.552
Tb  0.704  0.801  0.448
Tb  0.801  0.704  0.948
Nd  0.001  0.568  0.194
Nd  0.123  0.761  0.551
Nd  0.239  0.877  0.949
Nd  0.296  0.497  0.388
Nd  0.432  0.999  0.306
Nd  0.497  0.296  0.888
Nd  0.503  0.704  0.112
Nd  0.568  0.001  0.694
Nd  0.704  0.503  0.612
Nd  0.761  0.123  0.051
Nd  0.877  0.239  0.449
Nd  0.999  0.432  0.806
Er  0.021  0.979  0.250
Er  0.979  0.021  0.750
Mg  0.409  0.591  0.750
Mg  0.591  0.409  0.250

Computed properties:
E_form ... 0.115 eV/atom

Entry from Alexandria: a relaxed Tb2Nd2Er2Mg crystal (PBE).

abc: 6.311 6.311 11.590
angles: 116.57 116.57 33.52
Positions (direct):
Tb  0.249  0.249  0.131
Tb  0.751  0.751  0.869
Nd  0.031  0.031  0.248
Nd  0.969  0.969  0.752
Er  0.179  0.179  0.585
Er  0.821  0.821  0.415
Mg  0.500  0.500  0.000

Computed properties:
E_form ... 0.092 eV/atom

Entry from Alexandria: a relaxed TbNd6Er2Mg crystal (PBE).

abc: 8.857 8.857 9.502
angles: 93.57 93.57 115.97
Positions (direct):
Tb  0.026  0.974  0.750
Tb  0.974  0.026  0.250
Nd  0.002  0.438  0.305
Nd  0.121  0.767  0.051
Nd  0.233  0.879  0.449
Nd  0.296  0.505  0.892
Nd  0.438  0.002  0.805
Nd  0.495  0.704  0.608
Nd  0.505  0.296  0.392
Nd  0.562  0.998  0.195
Nd  0.704  0.495  0.108
Nd  0.767  0.121  0.551
Nd  0.879  0.233  0.949
Nd  0.998  0.562  0.695
Er  0.199  0.299  0.554
Er  0.299  0.199  0.054
Er  0.701  0.801  0.946
Er  0.801  0.701  0.446
Mg  0.411  0.589  0.250
Mg  0.589  0.411  0.750

Computed properties:
E_form ... 0.119 eV/atom

Entry from Alexandria: a relaxed Tb2Nd6Er3Mg crystal (PBE).

abc: 6.228 6.228 11.778
angles: 95.07 95.07 120.03
Positions (direct):
Tb  0.167  0.833  0.000
Tb  0.833  0.167  0.000
Nd  0.085  0.417  0.750
Nd  0.251  0.251  0.251
Nd  0.417  0.085  0.750
Nd  0.583  0.915  0.250
Nd  0.749  0.749  0.749
Nd  0.915  0.583  0.250
Er  0.000  0.000  0.500
Er  0.334  0.666  0.500
Er  0.666  0.334  0.500
Mg  0.500  0.500  0.000

Computed properties:
E_form ... 0.019 eV/atom

Entry from Alexandria: a relaxed Nd2ErMgTe5 crystal (PBE).

abc: 9.762 9.762 13.563
angles: 90.00 90.00 154.33
Positions (direct):
Nd  0.112  0.888  0.500
Nd  0.134  0.866  0.122
Nd  0.866  0.134  0.622
Nd  0.888  0.112  0.000
Er  0.205  0.795  0.831
Er  0.795  0.205  0.331
Mg  0.445  0.555  0.274
Mg  0.555  0.445  0.774
Te  0.051  0.949  0.894
Te  0.282  0.718  0.488
Te  0.311  0.689  0.169
Te  0.363  0.637  0.817
Te  0.496  0.504  0.595
Te  0.504  0.496  0.095
Te  0.637  0.363  0.317
Te  0.689  0.311  0.669
Te  0.718  0.282  0.988
Te  0.949  0.051  0.394

Computed properties:
VASP energy ... -4.72 eV per atom

Entry from Alexandria: a relaxed NdErMgTi crystal (PBE).

abc: 5.293 5.293 5.293
angles: 60.00 60.00 60.00
Positions (direct):
Nd  0.000  0.000  0.000
Er  0.500  0.500  0.500
Mg  0.250  0.250  0.250
Ti  0.750  0.750  0.750

Computed properties:
E_form ... 0.148 eV/atom

Entry from Alexandria: a relaxed NdEr2MgTl4 crystal (PBE).

abc: 9.508 9.508 9.508
angles: 32.18 32.18 32.18
Positions (direct):
Nd  0.000  0.000  0.000
Er  0.244  0.244  0.244
Er  0.756  0.756  0.756
Mg  0.500  0.500  0.500
Tl  0.126  0.126  0.126
Tl  0.378  0.378  0.378
Tl  0.622  0.622  0.622
Tl  0.874  0.874  0.874

Computed properties:
E_form ... -0.280 eV/atom